First-principles (PBE-GGA) data for a geometry-optimized Te2OsW structure, as listed in Alexandria via LeMat-Bulk.

Values from the calculation:
- Theoretical density: 13.6 g/cm³
- Uncorrected formation energy: 4.513 eV per formula unit
- Total moment: 0.000 μB/f.u.
- DOS(E_F): 0.9977 states/eV per atom
- Calculated volume: 77 Å³/f.u.
- Symmetry: No. 119
- Energy above the lowest structure with this stoichiometry: 758.3 meV per atom

Geometry as CIF:
```
data_Te2OsW
_cell_length_a 5.169
_cell_length_b 5.169
_cell_length_c 5.169
_cell_angle_alpha 131.09
_cell_angle_beta 131.09
_cell_angle_gamma 71.67
_space_group_name_H-M_alt 'P 1'
_space_group_IT_number 1
loop_
_space_group_symop_operation_xyz
'x,y,z'
loop_
_atom_site_label
_atom_site_type_symbol
_atom_site_fract_x
_atom_site_fract_y
_atom_site_fract_z
_atom_site_occupancy
Os1 Os 0.750 0.250 0.500 1
Te1 Te 0.000 0.000 0.000 1
Te2 Te 0.250 0.750 0.500 1
W1 W 0.500 0.500 0.000 1
```

=====

First-principles (PBE-GGA) data for a geometry-optimized TeOsW2 structure, as listed in Alexandria via LeMat-Bulk.

Values from the calculation:
- Theoretical density: 16.9 g/cm³
- Uncorrected formation energy: 2.832 eV per formula unit
- Total moment: 0.000 μB/f.u.
- DOS(E_F): 0.7305 states/eV per atom
- Calculated volume: 67 Å³/f.u.
- Symmetry: No. 71

Geometry as CIF:
```
data_TeOsW2
_cell_length_a 5.411
_cell_length_b 5.411
_cell_length_c 5.411
_cell_angle_alpha 145.99
_cell_angle_beta 129.87
_cell_angle_gamma 61.97
_space_group_name_H-M_alt 'P 1'
_space_group_IT_number 1
loop_
_space_group_symop_operation_xyz
'x,y,z'
loop_
_atom_site_label
_atom_site_type_symbol
_atom_site_fract_x
_atom_site_fract_y
_atom_site_fract_z
_atom_site_occupancy
Os1 Os 0.750 0.250 0.500 1
Te1 Te 0.250 0.750 0.500 1
W1 W 0.011 0.011 0.000 1
W2 W 0.489 0.489 0.000 1
```